No. 1
CaTl2W3O12 (PBE+U, relaxed); ρ = 8.06 g/cm³; total energy = -6.621 eV/atom
1.0
3.772 2.178 4.983
-3.772 2.178 4.983
0.000 -4.355 4.983
Ca Tl W O
1 2 3 12
direct
0.000 0.000 0.000
0.388 0.388 0.388
0.612 0.612 0.612
0.000 0.000 0.500
0.000 0.500 0.000
0.500 0.000 0.000
0.096 0.737 0.737
0.153 0.153 0.563
0.153 0.563 0.153
0.263 0.263 0.904
0.263 0.904 0.263
0.437 0.847 0.847
0.563 0.153 0.153
0.737 0.096 0.737
0.737 0.737 0.096
0.847 0.437 0.847
0.847 0.847 0.437
0.904 0.263 0.263


No. 2
Li4CrFe3O8 (PBE+U, relaxed); ρ = 4.19 g/cm³; total energy = -6.247 eV/atom; energy above the most stable polymorph in this dataset = 52.1 meV/atom
1.0
5.204 0.000 0.000
-1.768 5.671 0.000
-0.881 -3.274 10.090
Li Cr Fe O
8 2 6 16
direct
0.002 0.437 0.127
0.004 0.690 0.630
0.005 0.194 0.625
0.007 0.945 0.128
0.993 0.055 0.872
0.995 0.806 0.375
0.996 0.310 0.370
0.998 0.563 0.873
0.499 0.875 0.250
0.501 0.125 0.750
0.496 0.750 0.499
0.499 0.625 0.750
0.500 0.000 0.000
0.500 0.500 0.000
0.501 0.375 0.250
0.504 0.250 0.501
0.264 0.606 0.316
0.265 0.859 0.816
0.270 0.722 0.065
0.270 0.974 0.565
0.276 0.226 0.068
0.276 0.476 0.568
0.278 0.353 0.812
0.279 0.105 0.312
0.721 0.895 0.688
0.722 0.647 0.188
0.724 0.524 0.432
0.724 0.774 0.932
0.730 0.026 0.435
0.730 0.278 0.935
0.735 0.141 0.184
0.736 0.394 0.684